DFT (PBE with a Hubbard U) results for a geometry-optimized NdHgMoO5 structure.

Calculated total energy = -102.99 eV per cell

Unit cell a=6.571 b=6.571 c=8.838 alpha=106.94 beta=106.94 gamma=101.92
Last column: magnetic moment on the atom in μB.
Sites, in units of the cell vectors:
1 Hg 0.709 0.291 0.750  0.32
2 Mo 0.322 0.678 0.750  0.05
3 O 0.849 0.283 0.123  0.01
4 Hg 0.291 0.709 0.250  0.32
5 O 0.151 0.717 0.877  0.01
6 O 0.926 0.074 0.750  0.28
7 O 0.717 0.151 0.377  0.01
8 O 0.235 0.388 0.615  0.01
9 Nd 0.000 0.000 0.000  0.01
10 O 0.283 0.849 0.623  0.01
11 O 0.074 0.926 0.250  0.28
12 Nd 0.000 0.000 0.500  0.01
13 O 0.388 0.235 0.115  0.01
14 Mo 0.678 0.322 0.250  0.05
15 O 0.765 0.612 0.385  0.01
16 O 0.612 0.765 0.885  0.01